! PBE-GGA La2PmRu, optimized geometry; values from VASP
&SYSTEM
  ibrav = 0, nat = 16, ntyp = 3
/
ATOMIC_SPECIES
La 138.91 La.upf
Pm 145.00 Pm.upf
Ru 101.07 Ru.upf
ATOMIC_POSITIONS crystal
La 0.174 0.069 0.171
La 0.174 0.431 0.171
La 0.326 0.569 0.671
La 0.326 0.931 0.671
La 0.674 0.069 0.329
La 0.674 0.431 0.329
La 0.826 0.569 0.829
La 0.826 0.931 0.829
Pm 0.045 0.250 0.651
Pm 0.455 0.750 0.151
Pm 0.545 0.250 0.849
Pm 0.955 0.750 0.349
Ru 0.110 0.750 0.933
Ru 0.390 0.250 0.433
Ru 0.610 0.750 0.567
Ru 0.890 0.250 0.067
CELL_PARAMETERS angstrom
7.405 0.000 0.000
0.000 9.994 0.000
0.000 0.000 6.491
! Fermi-level density of states (states/eV/f.u.): 4.3
! Energy relative to the lowest polymorph listed for this composition (eV/atom): 0.0000
! SG: Pnma, No. 62
! Energy of formation (eV per atom): -0.225
! Energy (eV/atom): -6.20

---

! PBE-GGA CaSmZnCd, optimized geometry; values from VASP
&SYSTEM
  ibrav = 0, nat = 4, ntyp = 4
/
ATOMIC_SPECIES
Ca 40.08 Ca.upf
Sm 150.36 Sm.upf
Zn 65.41 Zn.upf
Cd 112.41 Cd.upf
ATOMIC_POSITIONS crystal
Ca 0.000 0.000 0.000
Sm 0.000 0.000 0.530
Zn 0.500 0.500 0.752
Cd 0.500 0.500 0.268
CELL_PARAMETERS angstrom
3.737 0.000 0.000
0.000 3.737 0.000
0.000 0.000 7.531
! Fermi-level density of states (states/eV/f.u.): 3.7
! Energy relative to the lowest polymorph listed for this composition (eV/atom): 0.0043
! SG: P4mm, No. 99
! Energy of formation (eV per atom): -0.308
! Energy (eV/atom): -2.54

---

! PBE-GGA Mn2InPt, optimized geometry; values from VASP
&SYSTEM
  ibrav = 0, nat = 8, ntyp = 3
/
ATOMIC_SPECIES
Mn 54.94 Mn.upf
In 114.82 In.upf
Pt 195.08 Pt.upf
ATOMIC_POSITIONS crystal
Mn 0.000 0.000 0.000
Mn 0.248 0.000 0.763
Mn 0.500 0.500 0.000
Mn 0.748 0.500 0.763
In 0.256 0.500 0.262
In 0.756 0.000 0.262
Pt 0.009 0.500 0.524
Pt 0.509 0.000 0.524
CELL_PARAMETERS angstrom
9.383 0.000 0.000
0.000 2.982 0.000
-1.042 0.000 4.637
! Fermi-level density of states (states/eV/f.u.): 2.5
! SG: Cm, No. 8
! Energy of formation (eV per atom): -0.038
! Energy (eV/atom): -6.82

---

! PBE-GGA Al3Sb4, optimized geometry; values from VASP
&SYSTEM
  ibrav = 0, nat = 14, ntyp = 2
/
ATOMIC_SPECIES
Al 26.98 Al.upf
Sb 121.76 Sb.upf
ATOMIC_POSITIONS crystal
Al 0.000 0.000 0.000
Al 0.000 0.000 0.285
Al 0.000 0.000 0.715
Al 0.500 0.500 0.215
Al 0.500 0.500 0.500
Al 0.500 0.500 0.785
Sb 0.000 0.000 0.174
Sb 0.000 0.000 0.443
Sb 0.000 0.000 0.557
Sb 0.000 0.000 0.826
Sb 0.500 0.500 0.057
Sb 0.500 0.500 0.326
Sb 0.500 0.500 0.674
Sb 0.500 0.500 0.943
CELL_PARAMETERS angstrom
3.769 0.000 0.000
0.000 3.769 0.000
0.000 0.000 25.230
! Fermi-level density of states (states/eV/f.u.): 2.7
! SG: I4/mmm, No. 139
! E_form (uncorrected) (eV per atom): 0.11
! Energy (eV/atom): -3.85

---

! PBE-GGA BeAsSe2, optimized geometry; values from VASP
&SYSTEM
  ibrav = 0, nat = 8, ntyp = 3
/
ATOMIC_SPECIES
Be 9.01 Be.upf
As 74.92 As.upf
Se 78.96 Se.upf
ATOMIC_POSITIONS crystal
Be 0.000 0.000 0.000
Be 0.500 0.500 0.500
As 0.000 0.000 0.500
As 0.500 0.500 0.000
Se 0.000 0.500 0.370
Se 0.000 0.500 0.630
Se 0.500 0.000 0.130
Se 0.500 0.000 0.870
CELL_PARAMETERS angstrom
3.336 0.000 0.000
0.000 4.281 0.000
0.000 0.000 13.023
! Fermi-level density of states (states/eV/f.u.): 0.8
! Energy relative to the lowest polymorph listed for this composition (eV/atom): 0.1106
! SG: Immm, No. 71
! E_form (uncorrected) (eV per atom): -0.01
! Energy (eV/atom): -3.84

---

! PBE-GGA PrCo2CuH8, optimized geometry; values from VASP
&SYSTEM
  ibrav = 0, nat = 12, ntyp = 4
/
ATOMIC_SPECIES
Pr 140.91 Pr.upf
Co 58.93 Co.upf
Cu 63.55 Cu.upf
H 1.01 H.upf
ATOMIC_POSITIONS crystal
Pr 0.000 0.000 0.000
Co 0.198 0.198 0.198
Co 0.802 0.802 0.802
Cu 0.500 0.500 0.500
H 0.119 0.844 0.409
H 0.156 0.591 0.881
H 0.298 0.298 0.298
H 0.409 0.119 0.844
H 0.591 0.881 0.156
H 0.702 0.702 0.702
H 0.844 0.409 0.119
H 0.881 0.156 0.591
CELL_PARAMETERS angstrom
2.251 1.300 5.385
-2.251 1.300 5.385
0.000 -2.599 5.385
! Fermi-level density of states (states/eV/f.u.): 1.8
! SG: R-3, No. 148
! Energy (eV/atom): -4.33

---

! PBE-GGA Mn2AlAu, optimized geometry; values from VASP
&SYSTEM
  ibrav = 0, nat = 8, ntyp = 3
/
ATOMIC_SPECIES
Mn 54.94 Mn.upf
Al 26.98 Al.upf
Au 196.97 Au.upf
ATOMIC_POSITIONS crystal
Mn 0.000 0.500 0.250
Mn 0.000 0.500 0.750
Mn 0.500 0.000 0.250
Mn 0.500 0.000 0.750
Al 0.000 0.000 0.000
Al 0.500 0.500 0.500
Au 0.000 0.000 0.500
Au 0.500 0.500 0.000
CELL_PARAMETERS angstrom
3.892 0.000 0.000
0.000 3.892 0.000
0.000 0.000 7.853
! Fermi-level density of states (states/eV/f.u.): 3.4
! Energy relative to the lowest polymorph listed for this composition (eV/atom): 0.0207
! SG: I4/mmm, No. 139
! Energy of formation (eV per atom): -0.105
! Energy (eV/atom): -6.44

---

! PBE-GGA RbPtCl, optimized geometry; values from VASP
&SYSTEM
  ibrav = 0, nat = 6, ntyp = 3
/
ATOMIC_SPECIES
Rb 85.47 Rb.upf
Pt 195.08 Pt.upf
Cl 35.45 Cl.upf
ATOMIC_POSITIONS crystal
Rb 0.250 0.250 0.140
Rb 0.750 0.750 0.860
Pt 0.250 0.250 0.612
Pt 0.750 0.750 0.388
Cl 0.250 0.750 0.500
Cl 0.750 0.250 0.500
CELL_PARAMETERS angstrom
5.184 0.000 0.000
0.000 5.184 0.000
0.000 0.000 6.518
! Fermi-level density of states (states/eV/f.u.): 1.6
! Energy relative to the lowest polymorph listed for this composition (eV/atom): 0.7684
! SG: P4/nmm, No. 129
! E_form (uncorrected) (eV per atom): -0.01
! Energy (eV/atom): -2.96

---

! PBE-GGA LiCu2Ru, optimized geometry; values from VASP
&SYSTEM
  ibrav = 0, nat = 8, ntyp = 3
/
ATOMIC_SPECIES
Li 6.94 Li.upf
Cu 63.55 Cu.upf
Ru 101.07 Ru.upf
ATOMIC_POSITIONS crystal
Li 0.000 0.000 0.000
Li 0.500 0.500 0.000
Cu 0.250 0.250 0.500
Cu 0.250 0.750 0.500
Cu 0.750 0.250 0.500
Cu 0.750 0.750 0.500
Ru 0.000 0.500 0.000
Ru 0.500 0.000 0.000
CELL_PARAMETERS angstrom
5.338 0.000 0.000
0.000 7.600 0.000
0.000 0.000 2.504
! Fermi-level density of states (states/eV/f.u.): 1.6
! Energy relative to the lowest polymorph listed for this composition (eV/atom): 0.0000
! SG: Cmmm, No. 65
! Energy of formation (eV per atom): 0.037
! Energy (eV/atom): -4.81

---

! PBE-GGA LiZn2Cd, optimized geometry; values from VASP
&SYSTEM
  ibrav = 0, nat = 16, ntyp = 3
/
ATOMIC_SPECIES
Li 6.94 Li.upf
Zn 65.41 Zn.upf
Cd 112.41 Cd.upf
ATOMIC_POSITIONS crystal
Li 0.000 0.000 0.000
Li 0.000 0.500 0.250
Li 0.500 0.000 0.750
Li 0.500 0.500 0.500
Zn 0.245 0.750 0.125
Zn 0.250 0.245 0.875
Zn 0.250 0.255 0.375
Zn 0.255 0.750 0.625
Zn 0.745 0.250 0.625
Zn 0.750 0.745 0.375
Zn 0.750 0.755 0.875
Zn 0.755 0.250 0.125
Cd 0.000 0.000 0.500
Cd 0.000 0.500 0.750
Cd 0.500 0.000 0.250
Cd 0.500 0.500 0.000
CELL_PARAMETERS angstrom
7.518 0.000 0.000
0.000 7.518 0.000
0.000 0.000 5.419
! Fermi-level density of states (states/eV/f.u.): 1.2
! SG: I-42d, No. 122
! Energy of formation (eV per atom): 0.084
! Energy (eV/atom): -1.26

---

! PBE-GGA CdGa5Ag3, optimized geometry; values from VASP
&SYSTEM
  ibrav = 0, nat = 18, ntyp = 3
/
ATOMIC_SPECIES
Cd 112.41 Cd.upf
Ga 69.72 Ga.upf
Ag 107.87 Ag.upf
ATOMIC_POSITIONS crystal
Cd 0.123 0.123 0.307
Cd 0.877 0.877 0.693
Ga 0.020 0.597 0.414
Ga 0.237 0.237 0.083
Ga 0.332 0.668 0.000
Ga 0.398 0.398 0.662
Ga 0.403 0.980 0.586
Ga 0.597 0.020 0.414
Ga 0.602 0.602 0.338
Ga 0.668 0.332 0.000
Ga 0.763 0.763 0.917
Ga 0.980 0.403 0.586
Ag 0.000 0.000 0.000
Ag 0.000 0.000 0.500
Ag 0.270 0.270 0.837
Ag 0.399 0.399 0.358
Ag 0.601 0.601 0.642
Ag 0.730 0.730 0.163
CELL_PARAMETERS angstrom
6.077 -3.826 0.000
6.077 3.826 0.000
-3.991 0.000 8.817
! Fermi-level density of states (states/eV/f.u.): 3.1
! SG: C2/m, No. 12
! Energy of formation (eV per atom): 0.181
! Energy (eV/atom): -2.55

---

! PBE-GGA LaNpSO2, optimized geometry; values from VASP
&SYSTEM
  ibrav = 0, nat = 10, ntyp = 4
/
ATOMIC_SPECIES
La 138.91 La.upf
Np 237.00 Np.upf
S 32.06 S.upf
O 16.00 O.upf
ATOMIC_POSITIONS crystal
La 0.000 0.000 0.000
La 0.500 0.500 0.500
Np 0.000 0.000 0.289
Np 0.500 0.500 0.789
S 0.000 0.000 0.647
S 0.500 0.500 0.147
O 0.000 0.500 0.389
O 0.000 0.500 0.889
O 0.500 0.000 0.389
O 0.500 0.000 0.889
CELL_PARAMETERS angstrom
3.865 0.000 0.000
0.000 3.865 0.000
0.000 0.000 12.314
! Fermi-level density of states (states/eV/f.u.): 8.7
! SG: I4mm, No. 107
! E_form (uncorrected) (eV per atom): -2.66
! Energy (eV/atom): -9.04

---

| no. | total moment (μB/f.u.) |
| --- | --- |
| 1 | 0.0 |
| 2 | 0.2 |
| 3 | 7.3 |
| 4 | 0.0 |
| 5 | 0.0 |
| 6 | 0.0 |
| 7 | 6.4 |
| 8 | 0.0 |
| 9 | 0.0 |
| 10 | 0.0 |
| 11 | 0.0 |
| 12 | 4.0 |